A relaxed HfAsH2 crystal. Source: Alexandria via LeMat-Bulk, functional GGA-PBE.

The structure in extended XYZ format:
```
8
Lattice="-2.7365 -2.7290 0.7933 2.7207 -2.1975 1.8258 -1.3534 0.5087 6.8916" Properties=species:S:1:pos:R:3 pbc="T T T"
H -1.0243 -3.6261 3.5558
H -1.7091 -0.9101 5.6891
H -3.0614 -2.2874 6.0964
H -2.4006 -2.5433 2.6476
Hf 0.0000 0.0000 0.0000
Hf -2.0489 -2.3417 4.4972
As 0.6798 -2.0760 5.0135
As -0.0079 -2.4632 1.3096
```

The energy above the most stable polymorph in this dataset is 284.0 meV per atom.

A relaxed Hf4As3H crystal. Source: Alexandria via LeMat-Bulk, functional GGA-PBE.

The structure in extended XYZ format:
```
16
Lattice="5.3371 0.0000 0.0000 0.0000 7.1694 0.0000 0.0000 0.0000 8.3465" Properties=species:S:1:pos:R:3 pbc="T T T"
As 0.4572 1.7075 4.1733
As 3.1137 2.6407 6.3819
As 3.1258 5.4619 0.0000
As 0.4452 4.5287 6.1379
As 3.1137 2.6407 1.9646
As 0.4452 4.5287 2.2086
Hf 0.4474 1.8492 1.6131
Hf 3.1159 5.3202 2.5602
Hf 0.3673 6.2433 4.1733
Hf 3.1283 1.0510 4.1733
Hf 0.4474 1.8492 6.7335
Hf 0.4597 6.1184 0.0000
Hf 3.0359 0.9261 0.0000
Hf 3.1159 5.3202 5.7864
H 2.3492 6.3379 4.1733
H 5.0177 0.8314 0.0000
```

The total DFT energy (no corrections) comes out at -7.69 eV per atom.

Short version: spin magnetization = 0.00; 0.00 μB/atom, in the order given.